[1]
This record from Alexandria describes crystalline GeS2BrCl at its relaxed geometry. The functional is PBE.

The structure in POSCAR format:
```
GeS2BrCl
1.0
4.867 0.000 0.000
0.000 4.867 0.000
0.000 0.000 4.824
Ge S Br Cl
1 2 1 1
direct
0.000 0.000 0.000
0.000 0.500 0.000
0.500 0.000 0.000
0.500 0.500 0.500
0.000 0.000 0.500
```

Summary:
Raw formation energy: 0.406 eV/atom
Space-group type: P4/mmm, No. 123
Energy above the most stable polymorph in this dataset: 0 meV/atom



[2]
This record from Alexandria describes crystalline GeSBrCl2 at its relaxed geometry. The functional is PBE.

The structure in POSCAR format:
```
GeSBrCl2
1.0
4.738 0.000 0.000
0.000 4.738 0.000
0.000 0.000 5.313
Ge S Br Cl
1 1 1 2
direct
0.000 0.000 0.000
0.000 0.000 0.500
0.500 0.500 0.500
0.000 0.500 0.000
0.500 0.000 0.000
```

Summary:
Raw formation energy: 0.090 eV/atom
Space-group type: P4/mmm, No. 123
Energy above the most stable polymorph in this dataset: 0 meV/atom



[3]
This record from Alexandria describes crystalline GeSeBr2Cl at its relaxed geometry. The functional is PBE.

The structure in POSCAR format:
```
GeSeBr2Cl
1.0
5.163 0.000 0.000
0.000 5.163 0.000
0.000 0.000 5.428
Ge Se Br Cl
1 1 2 1
direct
0.000 0.000 0.000
0.000 0.000 0.500
0.000 0.500 0.000
0.500 0.000 0.000
0.500 0.500 0.500
```

Summary:
Raw formation energy: 0.196 eV/atom
Space-group type: P4/mmm, No. 123
Energy above the most stable polymorph in this dataset: 0 meV/atom



[4]
This record from Alexandria describes crystalline GeSeBr2Cl at its relaxed geometry. The functional is PBE.

The structure in POSCAR format:
```
GeSeBr2Cl
1.0
5.076 0.000 0.000
0.000 5.076 0.000
0.000 0.000 5.505
Ge Se Br Cl
1 1 2 1
direct
0.000 0.000 0.000
0.500 0.500 0.000
0.000 0.500 0.500
0.500 0.000 0.500
0.500 0.500 0.500
```

Summary:
Raw formation energy: 0.615 eV/atom
Space-group type: P4/mmm, No. 123
Energy above the most stable polymorph in this dataset: 419 meV/atom



[5]
This record from Alexandria describes crystalline SiGe2BrCl at its relaxed geometry. The functional is PBE.

The structure in POSCAR format:
```
SiGe2BrCl
1.0
5.109 0.000 0.000
0.000 5.109 0.000
0.000 0.000 6.050
Si Ge Br Cl
1 2 1 1
direct
0.000 0.000 0.000
0.000 0.500 0.500
0.500 0.000 0.500
0.500 0.500 0.500
0.500 0.500 0.000
```

Summary:
Raw formation energy: 1.085 eV/atom
Space-group type: P4/mmm, No. 123



[6]
This record from Alexandria describes crystalline Si2GeBrCl at its relaxed geometry. The functional is PBE.

The structure in POSCAR format:
```
Si2GeBrCl
1.0
5.051 0.000 0.000
0.000 5.051 0.000
0.000 0.000 4.934
Si Ge Br Cl
2 1 1 1
direct
0.000 0.500 0.000
0.500 0.000 0.000
0.000 0.000 0.000
0.500 0.500 0.500
0.000 0.000 0.500
```

Summary:
Raw formation energy: 0.547 eV/atom
Space-group type: P4/mmm, No. 123



[7]
This record from Alexandria describes crystalline Sr4GeBrCl2 at its relaxed geometry. The functional is PBE.

The structure in POSCAR format:
```
Sr4GeBrCl2
1.0
7.639 0.000 0.000
0.000 4.619 0.000
-2.656 0.000 7.383
Sr Ge Br Cl
4 1 1 2
direct
0.232 0.000 0.225
0.246 0.500 0.769
0.754 0.500 0.231
0.768 0.000 0.775
0.000 0.500 0.000
0.000 0.000 0.500
0.500 0.000 0.000
0.500 0.500 0.500
```

Summary:
Raw formation energy: -1.434 eV/atom
Space-group type: P2/m, No. 10



[8]
This record from Alexandria describes crystalline Sr4GeBr2Cl at its relaxed geometry. The functional is PBE.

The structure in POSCAR format:
```
Sr4GeBr2Cl
1.0
7.737 0.000 0.000
0.000 4.630 0.000
-2.651 0.000 7.505
Sr Ge Br Cl
4 1 2 1
direct
0.227 0.000 0.220
0.243 0.500 0.773
0.757 0.500 0.227
0.773 0.000 0.780
0.000 0.500 0.000
0.000 0.000 0.500
0.500 0.500 0.500
0.500 0.000 0.000
```

Summary:
Raw formation energy: -1.392 eV/atom
Space-group type: P2/m, No. 10



[9]
This record from Alexandria describes crystalline Tl2GeBr2Cl4 at its relaxed geometry. The functional is PBE.

The structure in POSCAR format:
```
Tl2GeBr2Cl4
1.0
-3.579 3.579 5.179
3.579 -3.579 5.179
3.579 3.579 -5.179
Tl Ge Br Cl
2 1 2 4
direct
0.250 0.750 0.500
0.750 0.250 0.500
0.000 0.000 0.000
0.243 0.243 0.000
0.757 0.757 0.000
0.230 0.230 0.460
0.230 0.770 0.000
0.770 0.230 0.000
0.770 0.770 0.540
```

Summary:
Raw formation energy: -0.825 eV/atom
Space-group type: I4/mmm, No. 139



[10]
This record from Alexandria describes crystalline Tl3Ge2Br2Cl5 at its relaxed geometry. The functional is PBE.

The structure in POSCAR format:
```
Tl3Ge2Br2Cl5
1.0
-2.624 2.624 13.610
2.624 -2.624 13.610
2.624 2.624 -13.610
Tl Ge Br Cl
3 2 2 5
direct
0.000 0.000 0.000
0.180 0.180 0.000
0.820 0.820 0.000
0.402 0.402 0.000
0.598 0.598 0.000
0.300 0.300 0.000
0.700 0.700 0.000
0.095 0.595 0.500
0.405 0.905 0.500
0.500 0.500 0.000
0.595 0.095 0.500
0.905 0.405 0.500
```

Summary:
Raw formation energy: -0.849 eV/atom
Space-group type: I4/mmm, No. 139



[11]
This record from Alexandria describes crystalline ZnGeBr2Cl at its relaxed geometry. The functional is PBE.

The structure in POSCAR format:
```
ZnGeBr2Cl
1.0
5.279 0.000 0.000
0.000 5.279 0.000
0.000 0.000 5.013
Zn Ge Br Cl
1 1 2 1
direct
0.000 0.000 0.000
0.000 0.000 0.500
0.000 0.500 0.500
0.500 0.000 0.500
0.500 0.500 0.000
```

Summary:
Raw formation energy: -0.028 eV/atom
Space-group type: P4/mmm, No. 123



[12]
This record from Alexandria describes crystalline H2BrCl2 at its relaxed geometry. The functional is PBE.

The structure in POSCAR format:
```
H2BrCl2
1.0
5.474 0.000 0.000
2.195 6.675 0.000
2.036 0.147 8.243
H Br Cl
4 2 4
direct
0.010 0.482 0.278
0.171 0.703 0.461
0.829 0.297 0.539
0.990 0.518 0.722
0.332 0.097 0.938
0.668 0.903 0.062
0.130 0.618 0.219
0.187 0.739 0.606
0.813 0.261 0.394
0.870 0.382 0.781
```

Summary:
E_tot: -2.8150 eV/atom
Space-group type: P-1, No. 2



Listing spin magnetization for the structures above in their given order: 1.6 0.0 2.3 0.0 0.0 0.0 0.0 0.0 0.0 0.0 0.6 0.0 μB per formula unit.